# 1
Here is an optimized crystal structure of Ac2CeMnS6 from Alexandria. Energies are from PBE.

Results
For the density, the calculation gives 5.12 g/cm³. The total moment comes out at 4.85 μB/f.u. Its total DFT energy (no corrections) is -6.35 eV/atom. The crystal system is tetragonal. Its density of states at the Fermi level is 4.46 states/eV/cell. The value obtained for the energy relative to the elements, uncorrected is -1.545 eV/atom.

Cell: 6.8854 6.8854 5.7515 Å, 90.00 90.00 90.00°
Atoms (fractional coordinates):
Ac: 0.0000 0.5000 0.0000
Ac: 0.5000 0.0000 0.0000
Ce: 0.0000 0.0000 0.5992
Mn: 0.5000 0.5000 0.7619
S: 0.0000 0.0000 0.1248
S: 0.2632 0.2632 0.6885
S: 0.2632 0.7368 0.6885
S: 0.5000 0.5000 0.1625
S: 0.7368 0.2632 0.6885
S: 0.7368 0.7368 0.6885


# 2
Here is an optimized crystal structure of La2ScAgO from Alexandria. Energies are from PBE.

Results
Its energy above the most stable polymorph in this dataset is 0.000 eV per atom. For the density, the calculation gives 6.38 g/cm³. The total moment comes out at 0.00 μB/f.u. Its total DFT energy (no corrections) is -6.03 eV/atom. The crystal system is tetragonal. Its density of states at the Fermi level is 4.90 states/eV/cell. The value obtained for the energy relative to the elements, uncorrected is -1.234 eV/atom.

Cell: 5.2262 5.2262 4.2573 Å, 90.00 90.00 90.00°
Atoms (fractional coordinates):
La: 0.0000 0.5000 0.0000
La: 0.5000 0.0000 0.0000
Sc: 0.0000 0.0000 0.5000
Ag: 0.5000 0.5000 0.5000
O: 0.0000 0.0000 0.0000


# 3
Here is an optimized crystal structure of MnIr4Ru from Alexandria. Energies are from PBE.

Results
The calculation puts the formation energy at -0.06 eV per atom. Its energy above the most stable polymorph in this dataset is 0.006 eV per atom. For the density, the calculation gives 18.13 g/cm³. The total moment comes out at 2.08 μB/f.u. Its total DFT energy (no corrections) is -9.04 eV/atom. The crystal system is orthorhombic. Its density of states at the Fermi level is 11.76 states/eV/cell.

Cell: 7.1635 7.1635 8.7976 Å, 90.00 90.00 157.96°
Atoms (fractional coordinates):
Mn: 0.1669 0.8331 0.5000
Mn: 0.8331 0.1669 0.0000
Ir: 0.0564 0.9436 0.7466
Ir: 0.1721 0.8279 0.9989
Ir: 0.3856 0.6144 0.7529
Ir: 0.4972 0.5028 0.9982
Ir: 0.5028 0.4972 0.4982
Ir: 0.6144 0.3856 0.2529
Ir: 0.8279 0.1721 0.4989
Ir: 0.9436 0.0564 0.2466
Ru: 0.2779 0.7221 0.2498
Ru: 0.7221 0.2779 0.7498


# 4
Here is an optimized crystal structure of Mg2AgMo from Alexandria. Energies are from PBE.

Results
The calculation puts the formation energy at 0.28 eV per atom. Its energy above the most stable polymorph in this dataset is 0.171 eV per atom. For the density, the calculation gives 5.72 g/cm³. The total moment comes out at 0.00 μB/f.u. Its total DFT energy (no corrections) is -3.94 eV/atom. The crystal system is trigonal. Its density of states at the Fermi level is 8.92 states/eV/cell.

Cell: 2.9241 2.9241 29.7112 Å, 90.00 90.00 120.00°
Atoms (fractional coordinates):
Mg: 0.0000 0.0000 0.0000
Mg: 0.0000 0.0000 0.2412
Mg: 0.3333 0.6667 0.6667
Mg: 0.3333 0.6667 0.9079
Mg: 0.6667 0.3333 0.3333
Mg: 0.6667 0.3333 0.5746
Ag: 0.0000 0.0000 0.4942
Ag: 0.3333 0.6667 0.1608
Ag: 0.6667 0.3333 0.8275
Mo: 0.0000 0.0000 0.7463
Mo: 0.3333 0.6667 0.4130
Mo: 0.6667 0.3333 0.0797


# 5
Here is an optimized crystal structure of CaLuAgPd from Alexandria. Energies are from PBE.

Results
The calculation puts the formation energy at -0.53 eV per atom. For the density, the calculation gives 8.04 g/cm³. The total moment comes out at 0.00 μB/f.u. Its total DFT energy (no corrections) is -4.18 eV/atom. The crystal system is cubic. Its density of states at the Fermi level is 6.39 states/eV/cell.

Cell: 7.0786 7.0786 7.0786 Å, 90.00 90.00 90.00°
Atoms (fractional coordinates):
Ca: 0.0000 0.0000 0.0000
Ca: 0.0000 0.5000 0.5000
Ca: 0.5000 0.0000 0.5000
Ca: 0.5000 0.5000 0.0000
Lu: 0.0000 0.0000 0.5000
Lu: 0.0000 0.5000 0.0000
Lu: 0.5000 0.0000 0.0000
Lu: 0.5000 0.5000 0.5000
Ag: 0.2500 0.2500 0.2500
Ag: 0.2500 0.7500 0.7500
Ag: 0.7500 0.2500 0.7500
Ag: 0.7500 0.7500 0.2500
Pd: 0.2500 0.2500 0.7500
Pd: 0.2500 0.7500 0.2500
Pd: 0.7500 0.2500 0.2500
Pd: 0.7500 0.7500 0.7500


# 6
Here is an optimized crystal structure of SiNi2W from Alexandria. Energies are from PBE.

Results
For the density, the calculation gives 10.08 g/cm³. The total moment comes out at 0.00 μB/f.u. Its total DFT energy (no corrections) is -7.24 eV/atom. The crystal system is tetragonal. Its density of states at the Fermi level is 20.96 states/eV/cell. The value obtained for the energy relative to the elements, uncorrected is 0.245 eV/atom.

Cell: 3.5648 3.5648 17.0731 Å, 90.00 90.00 90.00°
Atoms (fractional coordinates):
Si: 0.0000 0.0000 0.0000
Si: 0.0000 0.5000 0.2500
Si: 0.5000 0.0000 0.7500
Si: 0.5000 0.5000 0.5000
Ni: 0.2328 0.2500 0.1250
Ni: 0.2500 0.7328 0.3750
Ni: 0.2500 0.7672 0.8750
Ni: 0.2672 0.2500 0.6250
Ni: 0.7328 0.7500 0.6250
Ni: 0.7500 0.2328 0.8750
Ni: 0.7500 0.2672 0.3750
Ni: 0.7672 0.7500 0.1250
W: 0.0000 0.0000 0.5000
W: 0.0000 0.5000 0.7500
W: 0.5000 0.0000 0.2500
W: 0.5000 0.5000 0.0000


Q: Among the records above, which one has the highest total DFT energy (no corrections)?
A: Mg2AgMo